# GGA-PBE TlHg4Pb4, optimized geometry
data_TlHg4Pb4
_space_group_name_H-M_alt 'P 42/n m c'
_space_group_IT_number 137
_cell_length_a 7.3141
_cell_length_b 7.3141
_cell_length_c 10.8933
_cell_angle_alpha 90.00
_cell_angle_beta 90.00
_cell_angle_gamma 90.00
loop_
_space_group_symop_operation_xyz
'x,y,z'
'-x,-y,-z'
'-y+1/2,x,z+1/2'
'y+1/2,-x,-z+1/2'
'-x+1/2,-y+1/2,z'
'x+1/2,y+1/2,-z'
'y,-x+1/2,z+1/2'
'-y,x+1/2,-z+1/2'
'x+1/2,-y,-z'
'-x+1/2,y,z'
'-y,-x,-z+1/2'
'y,x,z+1/2'
'-x,y+1/2,-z'
'x,-y+1/2,z'
'y+1/2,x+1/2,-z+1/2'
'-y+1/2,-x+1/2,z+1/2'
loop_
_atom_site_label
_atom_site_fract_x
_atom_site_fract_y
_atom_site_fract_z
Tl1 0.2500 0.7500 0.2500
Hg1 0.0222 0.2500 0.0347
Pb1 0.0251 0.2500 0.3369
# D(E_F): 8.49 states/eV per cell
# energy of formation from the pure elements: 93 meV/atom